No. 1
VASP calculation (PBE) on a relaxed structure of NdHoHgPb.

a = 5.410 Å, b = 5.410 Å, c = 5.410 Å
α = 60.00°, β = 60.00°, γ = 60.00°
Atoms (fractional coordinates):
1 Pb 0.250 0.250 0.250
2 Hg 0.750 0.750 0.750
3 Ho 0.000 0.000 0.000
4 Nd 0.500 0.500 0.500

Computed properties:
DFT formation energy in eV/f.u.: -1.87
Total magnetization in μB/atom: 0.000
Space-group type: F-43m, No. 216
DFT total energy in eV per atom: -3.8054

No. 2
VASP calculation (PBE) on a relaxed structure of KBa2Cr.

a = 7.416 Å, b = 7.416 Å, c = 7.416 Å
α = 136.27°, β = 136.27°, γ = 63.56°
Each line ends with the local moment (μB).
Atoms (fractional coordinates):
1 Cr 0.500 0.500 0.000  4.09
2 K 0.750 0.250 0.500  -0.01
3 Ba 0.250 0.750 0.500  -0.08
4 Ba 0.000 0.000 0.000  -0.06

Computed properties:
DFT formation energy in eV/f.u.: 2.50
Total magnetization in μB/atom: 1.080
Space-group type: I-4m2, No. 119
DFT total energy in eV per atom: -3.0158